# 1
Crystalline Mg3TlFe at its relaxed geometry. Source: the Alexandria database, functional GGA-PBE.

Calculated values
Its crystal system is cubic. The energy above the most stable polymorph in this dataset comes out at 0 meV/atom. The calculated total energy is -2.65 eV/atom. The value obtained for the calculated volume is 126.10 Å³/f.u.

a = 5.0146 Å, b = 5.0146 Å, c = 5.0146 Å
α = 90.00°, β = 90.00°, γ = 90.00°
Closest atoms and distances in Å follow each position.
Fractional coordinates of all 5 atoms:
Mg 0.0000 0.0000 0.5000  2 Fe 2.51
Mg 0.0000 0.5000 0.0000  2 Fe 2.51
Mg 0.5000 0.0000 0.0000  2 Fe 2.51
Tl 0.5000 0.5000 0.5000  12 Mg 3.55
Fe 0.0000 0.0000 0.0000  6 Mg 2.51

# 2
Crystalline SrZr2MnC at its relaxed geometry. Source: the Alexandria database, functional GGA-PBE.

Calculated values
Its crystal system is tetragonal. The calculated total energy is -6.53 eV/atom. The value obtained for the calculated volume is 101.40 Å³/f.u.

a = 5.1212 Å, b = 5.1212 Å, c = 3.8662 Å
α = 90.00°, β = 90.00°, γ = 90.00°
Closest atoms and distances in Å follow each position.
Fractional coordinates of all 5 atoms:
Sr 0.0000 0.0000 0.0000  8 Zr 3.21
Zr 0.0000 0.5000 0.5000  2 Mn 2.56
Zr 0.5000 0.0000 0.5000  2 Mn 2.56
Mn 0.5000 0.5000 0.5000  2 C 1.93
C 0.5000 0.5000 0.0000  2 Mn 1.93

# 3
Crystalline LaInBr2 at its relaxed geometry. Source: the Alexandria database, functional GGA-PBE.

Calculated values
Its crystal system is orthorhombic. The energy above the most stable polymorph in this dataset comes out at 84 meV/atom. The value obtained for the uncorrected formation energy is -1.04 eV per atom. The calculated total energy is -3.79 eV/atom. The value obtained for the calculated volume is 120.55 Å³/f.u.

a = 6.9943 Å, b = 6.9943 Å, c = 6.9943 Å
α = 146.64°, β = 139.86°, γ = 53.15°
Closest atoms and distances in Å follow each position.
Fractional coordinates of all 4 atoms:
La 0.0000 0.0000 0.0000  6 Br 3.07-3.17
In 0.2636 0.7636 0.5000  4 Br 3.19
Br 0.5426 0.5426 0.0000  4 La 3.17
Br 0.8139 0.3139 0.5000  2 La 3.07, 4 In 3.19

# 4
Crystalline RbHoCr2Cl8 at its relaxed geometry. Source: the Alexandria database, functional GGA-PBE.

Calculated values
Its crystal system is triclinic. The value obtained for the uncorrected formation energy is -1.52 eV per atom. The calculated total energy is -4.82 eV/atom. The value obtained for the calculated volume is 357.49 Å³/f.u.

a = 6.6755 Å, b = 6.8483 Å, c = 9.1169 Å
α = 110.34°, β = 93.88°, γ = 110.49°
Closest atoms and distances in Å follow each position.
Fractional coordinates of all 12 atoms:
Rb 0.0000 0.0000 0.0000  6 Cl 3.32-3.58
Ho 0.0000 0.5000 0.5000  6 Cl 2.63-2.66
Cr 0.4280 0.3171 0.7933  4 Cl 2.37-2.39
Cr 0.5720 0.6829 0.2067  4 Cl 2.37-2.39
Cl 0.1622 0.5391 0.2521  1 Ho 2.63, 1 Cr 2.68
Cl 0.2669 0.3096 0.5510  1 Cr 2.37, 1 Ho 2.65
Cl 0.2966 0.9117 0.6875  1 Cr 2.39, 1 Ho 2.66
Cl 0.4569 0.6877 0.9541  2 Cr 2.38-2.39
Cl 0.5431 0.3123 0.0459  2 Cr 2.38-2.39
Cl 0.7034 0.0883 0.3125  1 Cr 2.39, 1 Ho 2.66
Cl 0.7331 0.6904 0.4490  1 Cr 2.37, 1 Ho 2.65
Cl 0.8378 0.4609 0.7479  1 Ho 2.63, 1 Cr 2.68